(1)
DFT (PBE-GGA) results for a geometry-optimized RbReAgSeS2 structure.

a = 8.018 Å, b = 8.018 Å, c = 10.056 Å
α = 90.00°, β = 90.00°, γ = 153.20°
Element x y z (fractional)
Rb (0.244, 0.756, 0.750)
Rb (0.756, 0.244, 0.250)
Re (0.000, 0.000, 0.000)
Re (0.000, 0.000, 0.500)
Ag (0.447, 0.553, 0.250)
Ag (0.553, 0.447, 0.750)
Se (0.068, 0.932, 0.250)
Se (0.932, 0.068, 0.750)
S (0.395, 0.605, 0.023)
S (0.395, 0.605, 0.477)
S (0.605, 0.395, 0.523)
S (0.605, 0.395, 0.977)

- Space group: Cmcm, No. 63
- Uncorrected energy: -4.8764 eV per atom
- M_tot: 4.93 Bohr magnetons per cell



(2)
DFT (PBE-GGA) results for a geometry-optimized RbReAgTe2S structure.

a = 8.482 Å, b = 8.482 Å, c = 10.117 Å
α = 90.00°, β = 90.00°, γ = 152.21°
Element x y z (fractional)
Rb (0.239, 0.761, 0.750)
Rb (0.761, 0.239, 0.250)
Re (0.000, 0.000, 0.000)
Re (0.000, 0.000, 0.500)
Ag (0.461, 0.539, 0.250)
Ag (0.539, 0.461, 0.750)
Te (0.384, 0.616, 0.014)
Te (0.384, 0.616, 0.486)
Te (0.616, 0.384, 0.514)
Te (0.616, 0.384, 0.986)
S (0.050, 0.950, 0.250)
S (0.950, 0.050, 0.750)

- Space group: Cmcm, No. 63
- Uncorrected energy: -4.4564 eV per atom
- M_tot: 5.29 Bohr magnetons per cell



(3)
DFT (PBE-GGA) results for a geometry-optimized RbReAg3Se4 structure.

a = 6.538 Å, b = 6.538 Å, c = 6.538 Å
α = 90.00°, β = 90.00°, γ = 90.00°
Element x y z (fractional)
Rb (0.000, 0.000, 0.000)
Re (0.500, 0.500, 0.500)
Ag (0.000, 0.500, 0.500)
Ag (0.500, 0.000, 0.500)
Ag (0.500, 0.500, 0.000)
Se (0.287, 0.287, 0.287)
Se (0.287, 0.713, 0.713)
Se (0.713, 0.287, 0.713)
Se (0.713, 0.713, 0.287)

- Space group: P-43m, No. 215
- Uncorrected energy: -4.1005 eV per atom
- M_tot: 1.15 Bohr magnetons per cell



(4)
DFT (PBE-GGA) results for a geometry-optimized RbReAgSe3 structure.

a = 8.042 Å, b = 8.042 Å, c = 10.187 Å
α = 90.00°, β = 90.00°, γ = 152.17°
Element x y z (fractional)
Rb (0.244, 0.756, 0.750)
Rb (0.756, 0.244, 0.250)
Re (0.000, 0.000, 0.000)
Re (0.000, 0.000, 0.500)
Ag (0.451, 0.549, 0.250)
Ag (0.549, 0.451, 0.750)
Se (0.065, 0.935, 0.250)
Se (0.388, 0.612, 0.020)
Se (0.388, 0.612, 0.480)
Se (0.612, 0.388, 0.520)
Se (0.612, 0.388, 0.980)
Se (0.935, 0.065, 0.750)

- Space group: Cmcm, No. 63
- Uncorrected energy: -4.6217 eV per atom
- M_tot: 5.09 Bohr magnetons per cell



> Among the records above, which one has the highest uncorrected energy?

RbReAg3Se4



> What is the uncorrected energy in the second record?

-4.4564 eV per atom



> What is the formula in the third record?

RbReAg3Se4



> Which formula does entry 1 have?

RbReAgSeS2